Material: HgMo2Pb
Method: DFT, SCAN
State: PBEsol geometry

Cell and atoms, written as CIF:
```
data_HgMo2Pb
_space_group_name_H-M_alt 'F m -3 m'
_space_group_IT_number 225
_space_group_name_Hall '-F 4 2 3'
_cell_length_a 6.5886
_cell_length_b 6.5886
_cell_length_c 6.5886
_cell_angle_alpha 90.00
_cell_angle_beta 90.00
_cell_angle_gamma 90.00
loop_
_atom_site_label
_atom_site_type_symbol
_atom_site_fract_x
_atom_site_fract_y
_atom_site_fract_z
Hg1 Hg 0.0000 0.0000 0.0000
Mo1 Mo 0.2500 0.2500 0.2500
Pb1 Pb 0.0000 0.0000 0.5000
```

Results
M_tot: 0.0 μB/f.u.
Calculated density: 13.93 g/cm³
DFT total energy: -52.5365 eV per atom
Calculated formation energy: 3.6 eV/f.u.
E above lowest polymorph: 67 meV/atom